Entry 1:
The following is a DFT calculation (GGA-PBE) of a relaxed structure of Nd3In3AgAu2.

Unit cell a=7.9202 b=7.9202 c=4.1280 alpha=90.00 beta=90.00 gamma=120.00
With the nearest neighbours (Å) after each atom.
Element x y z (fractional)
Nd1 0.0000 0.5875 0.0000  4 Au 3.16, 1 Ag 3.27, 6 In 3.35-3.52
Nd2 0.4125 0.4125 0.0000  4 Au 3.16, 1 Ag 3.27, 6 In 3.35-3.52
Nd3 0.5875 0.0000 0.0000  4 Au 3.16, 1 Ag 3.27, 6 In 3.35-3.52
In1 0.0000 0.2537 0.5000  2 Ag 2.88, 2 Au 3.01
In2 0.2537 0.0000 0.5000  2 Ag 2.88, 2 Au 3.01
In3 0.7463 0.7463 0.5000  2 Ag 2.88, 2 Au 3.01
Ag1 0.0000 0.0000 0.0000  6 In 2.88
Au1 0.3333 0.6667 0.5000  3 In 3.01, 6 Nd 3.16
Au2 0.6667 0.3333 0.5000  3 In 3.01, 6 Nd 3.16

## Properties
- energy (hartree per atom) = -0.1540



Entry 2:
The following is a DFT calculation (GGA-PBE) of a relaxed structure of Hg5P2.

Unit cell a=11.8652 b=5.4692 c=11.9139 alpha=76.21 beta=26.59 gamma=77.20
With the nearest neighbours (Å) after each atom.
Element x y z (fractional)
Hg1 0.0000 0.0000 0.0000  6 Hg 3.04-3.36
Hg2 0.0742 0.4019 0.1051  2 P 2.87-2.89, 2 Hg 3.16
Hg3 0.1449 0.8312 0.1758  2 P 2.87-2.89, 2 Hg 3.16
Hg4 0.2500 0.2500 0.2500  6 Hg 3.04-3.36
Hg5 0.2888 0.6901 0.3292  2 P 2.73-2.76, 2 Hg 3.04
Hg6 0.4019 0.0742 0.4188  2 P 2.87-2.89, 2 Hg 3.16
Hg7 0.5581 0.9208 0.5599  2 P 2.73-2.76, 2 Hg 3.04
Hg8 0.6901 0.2888 0.6919  2 P 2.73-2.76, 2 Hg 3.04
Hg9 0.8312 0.1449 0.8481  2 P 2.87-2.89, 2 Hg 3.16
Hg10 0.9208 0.5581 0.9612  2 P 2.73-2.76, 2 Hg 3.04
P1 0.4322 0.5313 0.4694  1 P 2.21
P2 0.5313 0.4322 0.5671  1 P 2.21
P3 0.6829 0.7806 0.7187  1 P 2.21
P4 0.7806 0.6829 0.8178  1 P 2.21

## Properties
- energy (hartree per atom) = -0.0574



Entry 3:
The following is a DFT calculation (GGA-PBE) of a relaxed structure of FeReAgPb.

Unit cell a=4.5898 b=4.5898 c=4.5898 alpha=60.00 beta=60.00 gamma=60.00
With the nearest neighbours (Å) after each atom.
Element x y z (fractional)
Fe1 0.0000 0.0000 0.0000  4 Pb 2.81, 4 Ag 2.81
Re1 0.5000 0.5000 0.5000  4 Pb 2.81, 4 Ag 2.81
Ag1 0.2500 0.2500 0.2500  4 Re 2.81, 4 Fe 2.81
Pb1 0.7500 0.7500 0.7500  4 Fe 2.81, 4 Re 2.81

## Properties
- energy (hartree per atom) = -0.2154



Entry 4:
The following is a DFT calculation (GGA-PBE) of a relaxed structure of GdEr2AgHg3Au2.

Unit cell a=3.7305 b=7.9686 c=7.9686 alpha=120.22 beta=90.00 gamma=90.00
With the nearest neighbours (Å) after each atom.
Element x y z (fractional)
Gd1 0.0000 0.0000 0.0000  4 Au 3.09, 6 Hg 3.20-3.39, 1 Ag 3.20
Er1 0.0000 0.4018 0.8047  4 Au 3.04-3.05, 6 Hg 3.20-3.40, 1 Ag 3.20
Er2 0.0000 0.8047 0.4018  4 Au 3.04-3.05, 6 Hg 3.20-3.40, 1 Ag 3.20
Ag1 0.0000 0.4033 0.4033  6 Hg 2.84-2.86
Hg1 0.5000 0.1305 0.4018  2 Ag 2.86, 2 Au 2.91-2.94, 2 Er 3.20
Hg2 0.5000 0.4018 0.1305  2 Ag 2.86, 2 Au 2.91-2.94, 2 Er 3.20
Hg3 0.5000 0.6728 0.6728  2 Ag 2.84, 2 Au 2.95
Au1 0.5000 0.0690 0.7322  3 Hg 2.91-2.95, 4 Er 3.04-3.05, 2 Gd 3.09
Au2 0.5000 0.7322 0.0690  3 Hg 2.91-2.95, 4 Er 3.04-3.05, 2 Gd 3.09

## Properties
- ΔH_f (0 K) (eV per formula unit) = -5.2
- energy (hartree per atom) = -0.1194



Entry 5:
The following is a DFT calculation (GGA-PBE) of a relaxed structure of ThCdIn.

Unit cell a=5.0860 b=5.0860 c=5.0860 alpha=60.00 beta=60.00 gamma=60.00
With the nearest neighbours (Å) after each atom.
Element x y z (fractional)
Th1 0.0000 0.0000 0.0000  4 In 3.11
Cd1 0.5000 0.5000 0.5000  4 In 3.11
In1 0.7500 0.7500 0.7500  4 Cd 3.11, 4 Th 3.11

## Properties
- energy (hartree per atom) = -0.1331



Entry 6:
The following is a DFT calculation (GGA-PBE) of a relaxed structure of TbScCS.

Unit cell a=3.5925 b=3.5925 c=12.4881 alpha=90.00 beta=90.00 gamma=120.00
With the nearest neighbours (Å) after each atom.
Element x y z (fractional)
Tb1 0.3333 0.6667 0.0000  3 C 2.48
Tb2 0.6667 0.3333 0.5000  3 C 2.48
Sc1 0.3333 0.6667 0.7071  3 C 2.41, 3 S 2.68
Sc2 0.6667 0.3333 0.2071  3 C 2.41, 3 S 2.68
C1 0.0000 0.0000 0.1086  3 Sc 2.41, 3 Tb 2.48
C2 0.0000 0.0000 0.6086  3 Sc 2.41, 3 Tb 2.48
S1 0.3333 0.6667 0.3434  3 Sc 2.68, 3 Tb 2.85
S2 0.6667 0.3333 0.8434  3 Sc 2.68, 3 Tb 2.85

## Properties
- energy (hartree per atom) = -0.2689



Entry 7:
The following is a DFT calculation (GGA-PBE) of a relaxed structure of CuGeAs2.

Unit cell a=4.6324 b=4.6324 c=4.6324 alpha=60.00 beta=60.00 gamma=60.00
With the nearest neighbours (Å) after each atom.
Element x y z (fractional)
Cu1 0.0000 0.0000 0.0000  4 Ge 2.84, 4 As 2.84
Ge1 0.7500 0.7500 0.7500  4 As 2.84, 4 Cu 2.84
As1 0.2500 0.2500 0.2500  4 As 2.84, 4 Cu 2.84
As2 0.5000 0.5000 0.5000  4 Ge 2.84, 4 As 2.84

## Properties
- energy (hartree per atom) = -0.1473



Entry 8:
The following is a DFT calculation (GGA-PBE) of a relaxed structure of SmTaN2O.

Unit cell a=5.7099 b=5.7099 c=14.1755 alpha=90.00 beta=90.00 gamma=120.00
With the nearest neighbours (Å) after each atom.
Element x y z (fractional)
Sm1 0.0000 0.0000 0.2500  6 N 2.77, 6 O 2.86
Sm2 0.0000 0.0000 0.7500  6 N 2.77, 6 O 2.86
Sm3 0.3333 0.6667 0.1155  3 O 2.49
Sm4 0.3333 0.6667 0.3845  3 O 2.49
Sm5 0.6667 0.3333 0.6155  3 O 2.49
Sm6 0.6667 0.3333 0.8845  3 O 2.49
Ta1 0.0000 0.0000 0.0000  6 N 2.03
Ta2 0.0000 0.0000 0.5000  6 N 2.03
Ta3 0.3333 0.6667 0.6466  3 N 1.90
Ta4 0.3333 0.6667 0.8534  3 N 1.90
Ta5 0.6667 0.3333 0.1466  3 N 1.90
Ta6 0.6667 0.3333 0.3534  3 N 1.90
N1 0.1598 0.3195 0.5898  2 Ta 1.90-2.03
N2 0.1598 0.3195 0.9102  2 Ta 1.90-2.03
N3 0.1598 0.8402 0.5898  2 Ta 1.90-2.03
N4 0.1598 0.8402 0.9102  2 Ta 1.90-2.03
N5 0.3195 0.1598 0.0898  2 Ta 1.90-2.03
N6 0.3195 0.1598 0.4102  2 Ta 1.90-2.03
N7 0.6805 0.8402 0.5898  2 Ta 1.90-2.03
N8 0.6805 0.8402 0.9102  2 Ta 1.90-2.03
N9 0.8402 0.1598 0.0898  2 Ta 1.90-2.03
N10 0.8402 0.1598 0.4102  2 Ta 1.90-2.03
N11 0.8402 0.6805 0.0898  2 Ta 1.90-2.03
N12 0.8402 0.6805 0.4102  2 Ta 1.90-2.03
O1 0.0090 0.5045 0.2500  2 Ta 2.24, 2 Sm 2.49
O2 0.4955 0.5045 0.2500  2 Ta 2.24, 2 Sm 2.49
O3 0.4955 0.9910 0.2500  2 Ta 2.24, 2 Sm 2.49
O4 0.5045 0.0090 0.7500  2 Ta 2.24, 2 Sm 2.49
O5 0.5045 0.4955 0.7500  2 Ta 2.24, 2 Sm 2.49
O6 0.9910 0.4955 0.7500  2 Ta 2.24, 2 Sm 2.49

## Properties
- energy (hartree per atom) = -0.3435